Record 1
First-principles (PBE) data for an optimized crystal structure of NdGaGePd2, as listed in OQMD.

Energy: -5.3928 eV per atom

Cell lengths 4.319, 4.319, 10.349 Å; angles 90.00, 90.00, 90.00 degrees
Fractional coordinates of all 10 atoms:
1 Pd 0.500 0.500 0.000
2 Pd 0.000 0.500 0.633
3 Pd 0.000 0.000 0.000
4 Pd 0.500 0.000 0.367
5 Ga 0.000 0.000 0.500
6 Ga 0.500 0.500 0.500
7 Ge 0.500 0.000 0.130
8 Ge 0.000 0.500 0.870
9 Nd 0.500 0.000 0.748
10 Nd 0.000 0.500 0.252



Record 2
First-principles (PBE) data for an optimized crystal structure of NdGaGePt2, as listed in OQMD.

Energy: -5.8352 eV per atom

Cell lengths 4.371, 4.371, 10.161 Å; angles 90.00, 90.00, 90.00 degrees
Fractional coordinates of all 10 atoms:
1 Pt 0.000 0.000 0.000
2 Pt 0.500 0.500 0.000
3 Pt 0.500 0.000 0.625
4 Pt 0.000 0.500 0.375
5 Ge 0.000 0.000 0.500
6 Ge 0.500 0.500 0.500
7 Nd 0.000 0.500 0.745
8 Nd 0.500 0.000 0.255
9 Ga 0.500 0.000 0.870
10 Ga 0.000 0.500 0.130



Record 3
First-principles (PBE) data for an optimized crystal structure of NdGaGePt2, as listed in OQMD.

Energy: -5.8622 eV per atom

Cell lengths 4.327, 4.327, 10.344 Å; angles 90.00, 90.00, 90.00 degrees
Fractional coordinates of all 10 atoms:
1 Pt 0.500 0.500 0.000
2 Pt 0.000 0.000 0.000
3 Pt 0.000 0.500 0.633
4 Pt 0.500 0.000 0.367
5 Nd 0.500 0.000 0.747
6 Nd 0.000 0.500 0.253
7 Ge 0.500 0.000 0.131
8 Ge 0.000 0.500 0.869
9 Ga 0.000 0.000 0.500
10 Ga 0.500 0.500 0.500



Which value of energy does entry 3 give? -5.8622 eV per atom



Which formula does entry 3 have? NdGaGePt2